{
  "formula": "K2RhO2",
  "functional": "PBE",
  "state": "relaxed",
  "lattice": [[-0.775, 1.281, 3.806], [-0.368, -3.882, 1.232], [4.780, -1.446, 3.658]],
  "species": ["K", "K", "Rh", "O", "O"],
  "frac_coords": [[0.250, 0.750, 0.500], [0.750, 0.250, 0.500], [0.000, 0.000, 0.000], [0.398, 0.398, 0.204], [0.602, 0.602, 0.796]],
  "e_form_raw_ev_per_atom": 0.4261
}